# Si2SnRhO

Crystalline Si2SnRhO at its relaxed geometry (GGA-PBE, the Alexandria database).

Geometry as POSCAR:
```
Si2SnRhO
1.0
2.907 0.000 0.023
0.000 3.055 0.001
-0.347 -0.174 10.326
Si Sn Rh O
2 1 1 1
Direct
0.324 0.449 0.400
0.307 0.939 0.217
0.866 0.469 0.749
0.835 0.955 0.512
0.799 0.934 0.132
```

Output
Space-group type   No. 1
Energy relative to the elements, uncorrected   -0.770 eV/atom
E above lowest polymorph   16.8 meV/atom
Spin magnetization   0.000 μB/f.u.
E   -0.228 hartree per atom